VASP calculation (PBE-GGA) on an optimized crystal structure of HgSb2As.

Values from the calculation:
total DFT energy (no corrections): -3.249 eV per atom
polymorph energy (0 for the lowest one): 19 meV/atom
energy relative to the elements, uncorrected: 4.8 kJ/mol of atoms
total magnetization: 0.00 μB/f.u.

Geometry as CIF:
```
data_HgSb2As
_chemical_formula_sum 'Hg2 Sb4 As2'
_cell_length_a 6.267
_cell_length_b 6.693
_cell_length_c 6.800
_cell_angle_alpha 114.73
_cell_angle_beta 90.79
_cell_angle_gamma 112.75
_symmetry_space_group_name_H-M 'P -1'
_symmetry_Int_Tables_number 2
_symmetry_space_group_name_Hall '-P 1'
loop_
_atom_site_label
_atom_site_type_symbol
_atom_site_fract_x
_atom_site_fract_y
_atom_site_fract_z
Hg1 Hg 0.000 0.000 0.000
Hg2 Hg 0.500 0.000 0.000
Sb1 Sb 0.046 0.220 0.482
Sb2 Sb 0.289 0.548 0.019
As1 As 0.387 0.789 0.477
```